[1]
Here is a geometry-optimized Fe2CuPt structure from Alexandria via LeMat-Bulk. Energies are from PBE-GGA.

It has space group I-42d (No. 122), with a = 6.7826 Å, b = 6.7826 Å, c = 5.0137 Å, α = 90.00°, β = 90.00° and γ = 90.00°. Symmetry generates all atoms from Fe at (0.2432, 0.2500, 0.1250), Cu at (0.0000, 0.0000, 0.0000) and Pt at (0.0000, 0.0000, 0.5000).

As for the formation energy from the elements: 0.368 eV/atom. For the spin magnetization, the calculation gives 6.4 μB/f.u.

[2]
Here is a geometry-optimized Fe2Cu3Pt4 structure from Alexandria via LeMat-Bulk. Energies are from PBE-GGA.

It has space group P-1 (No. 2), with a = 3.8689 Å, b = 4.5815 Å, c = 8.0332 Å, α = 103.96°, β = 90.06° and γ = 114.96°. Symmetry generates all atoms from Fe at (0.1703, 0.3402, 0.2249), Cu at (0.1650, 0.3300, 0.5513), Cu at (0.5000, 0.0000, 0.0000), Pt at (0.1653, 0.3307, 0.8879) and Pt at (0.4912, 0.9827, 0.6667).

As for the formation energy from the elements: -0.186 eV/atom. For the spin magnetization, the calculation gives 7.3 μB/f.u.

[3]
Here is a geometry-optimized Fe2CuPt structure from Alexandria via LeMat-Bulk. Energies are from PBE-GGA.

It has space group P4mm (No. 99), with a = 2.6760 Å, b = 2.6760 Å, c = 7.3324 Å, α = 90.00°, β = 90.00° and γ = 90.00°. Symmetry generates all atoms from Fe at (0.0000, 0.0000, 0.0000), Fe at (0.5000, 0.5000, 0.2449), Cu at (0.5000, 0.5000, 0.7623) and Pt at (0.0000, 0.0000, 0.4997).

As for the formation energy from the elements: -0.026 eV/atom. For the spin magnetization, the calculation gives 5.8 μB/f.u.

[4]
Here is a geometry-optimized FeCu3Pt structure from Alexandria via LeMat-Bulk. Energies are from PBE-GGA.

It has space group Pm-3m (No. 221), with a = 4.3224 Å, b = 4.3224 Å, c = 4.3224 Å, α = 90.00°, β = 90.00° and γ = 90.00°. Symmetry generates all atoms from Fe at (0.0000, 0.0000, 0.0000), Cu at (0.0000, 0.0000, 0.5000) and Pt at (0.5000, 0.5000, 0.5000).

As for the formation energy from the elements: 1.101 eV/atom. For the spin magnetization, the calculation gives 3.0 μB/f.u.

[5]
Here is a geometry-optimized FeCu3Pt7 structure from Alexandria via LeMat-Bulk. Energies are from PBE-GGA.

It has space group C2/m (No. 12), with a = 8.6453 Å, b = 9.0989 Å, c = 4.9265 Å, α = 90.00°, β = 115.55° and γ = 90.00°. Symmetry generates all atoms from Fe at (0.0000, 0.0000, 0.0000), Cu at (0.0000, 0.2768, 0.5000), Cu at (0.0000, 0.5000, 0.0000), Pt at (0.0000, 0.0000, 0.5000), Pt at (0.1704, 0.2564, 0.1766) and Pt at (0.1951, 0.5000, 0.5504).

As for the formation energy from the elements: 0.145 eV/atom. For the spin magnetization, the calculation gives 4.6 μB/f.u.

[6]
Here is a geometry-optimized FeCuPt structure from Alexandria via LeMat-Bulk. Energies are from PBE-GGA.

It has space group Cm (No. 8), with a = 6.8897 Å, b = 4.1133 Å, c = 4.1144 Å, α = 90.00°, β = 126.33° and γ = 90.00°. Symmetry generates all atoms from Fe at (0.0000, 0.0000, 0.0000), Cu at (0.2501, 0.5000, 0.2518) and Pt at (0.2499, 0.0000, 0.7483).

As for the formation energy from the elements: 0.241 eV/atom. For the spin magnetization, the calculation gives 3.6 μB/f.u.

[7]
Here is a geometry-optimized FeCu3Pt4 structure from Alexandria via LeMat-Bulk. Energies are from PBE-GGA.

It has space group Pmma (No. 51), with a = 8.7846 Å, b = 5.6314 Å, c = 4.5172 Å, α = 90.00°, β = 90.00° and γ = 90.00°. Symmetry generates all atoms from Fe at (0.0000, 0.0000, 0.0000), Cu at (0.0000, 0.5000, 0.0000), Cu at (0.2500, 0.0000, 0.3816), Cu at (0.2500, 0.5000, 0.3804), Pt at (0.0000, 0.2495, 0.5000) and Pt at (0.2500, 0.2512, 0.8865).

As for the formation energy from the elements: -0.173 eV/atom. For the spin magnetization, the calculation gives 4.0 μB/f.u.

[8]
Here is a geometry-optimized Fe2CuPt structure from Alexandria via LeMat-Bulk. Energies are from PBE-GGA.

It has space group Pmmm (No. 47), with a = 2.6681 Å, b = 3.7827 Å, c = 5.1866 Å, α = 90.00°, β = 90.00° and γ = 90.00°. Symmetry generates all atoms from Fe at (0.0000, 0.0000, 0.2418), Cu at (0.5000, 0.5000, 0.0000) and Pt at (0.5000, 0.5000, 0.5000).

As for the formation energy from the elements: -0.067 eV/atom. For the spin magnetization, the calculation gives 6.0 μB/f.u.